# 1
# Al2CuIr

Al2CuIr after structural relaxation (PBE-GGA, Alexandria).

a b c (Å): 8.842 8.842 8.842
angles (deg): 154.82 154.82 35.91
Fractional coordinates of all 8 atoms:
Al (0.125, 0.625, 0.000)
Al (0.375, 0.375, 0.500)
Al (0.625, 0.125, 0.000)
Al (0.875, 0.875, 0.500)
Cu (0.000, 0.000, 0.000)
Cu (0.750, 0.250, 0.500)
Ir (0.250, 0.750, 0.500)
Ir (0.500, 0.500, 0.000)

# 2
# AlCu2Ir

AlCu2Ir after structural relaxation (PBE-GGA, Alexandria).

a b c (Å): 4.734 4.734 4.734
angles (deg): 134.71 134.71 65.98
Fractional coordinates of all 4 atoms:
Al (0.000, 0.000, 0.000)
Cu (0.250, 0.750, 0.500)
Cu (0.750, 0.250, 0.500)
Ir (0.500, 0.500, 0.000)

# 3
# AlCu2Ir

AlCu2Ir after structural relaxation (PBE-GGA, Alexandria).

a b c (Å): 3.116 3.116 5.426
angles (deg): 90.00 90.00 90.00
Fractional coordinates of all 4 atoms:
Al (0.000, 0.000, 0.000)
Cu (0.500, 0.500, 0.239)
Cu (0.500, 0.500, 0.761)
Ir (0.000, 0.000, 0.500)

# 4
# AlCuIr2

AlCuIr2 after structural relaxation (PBE-GGA, Alexandria).

a b c (Å): 4.050 5.126 5.126
angles (deg): 30.98 90.00 90.00
Fractional coordinates of all 4 atoms:
Al (0.000, 0.000, 0.000)
Cu (0.500, 0.140, 0.140)
Ir (0.000, 0.739, 0.739)
Ir (0.500, 0.398, 0.398)

# 5
# AlCuIr2

AlCuIr2 after structural relaxation (PBE-GGA, Alexandria).

a b c (Å): 4.686 4.686 4.686
angles (deg): 132.09 132.09 70.09
Fractional coordinates of all 4 atoms:
Al (0.000, 0.000, 0.000)
Cu (0.250, 0.750, 0.500)
Ir (0.500, 0.500, 0.000)
Ir (0.750, 0.250, 0.500)

# 6
# AlCu2Ir

AlCu2Ir after structural relaxation (PBE-GGA, Alexandria).

a b c (Å): 3.642 3.642 3.935
angles (deg): 90.00 90.00 90.00
Fractional coordinates of all 4 atoms:
Al (0.000, 0.000, 0.000)
Cu (0.000, 0.500, 0.500)
Cu (0.500, 0.000, 0.500)
Ir (0.500, 0.500, 0.000)

# 7
# AlCu2Ir

AlCu2Ir after structural relaxation (PBE-GGA, Alexandria).

a b c (Å): 8.362 8.362 8.362
angles (deg): 19.02 19.02 19.02
Fractional coordinates of all 4 atoms:
Al (0.000, 0.000, 0.000)
Cu (0.497, 0.497, 0.497)
Cu (0.749, 0.749, 0.749)
Ir (0.252, 0.252, 0.252)

# 8
# AlCuIr2

AlCuIr2 after structural relaxation (PBE-GGA, Alexandria).

a b c (Å): 4.310 4.310 4.310
angles (deg): 60.00 60.00 60.00
Fractional coordinates of all 4 atoms:
Al (0.000, 0.000, 0.000)
Cu (0.250, 0.250, 0.250)
Ir (0.500, 0.500, 0.500)
Ir (0.750, 0.750, 0.750)

# 9
# Al6Cu5Ir

Al6Cu5Ir after structural relaxation (PBE-GGA, Alexandria).

a b c (Å): 7.273 7.273 4.486
angles (deg): 104.24 104.24 45.08
Fractional coordinates of all 12 atoms:
Al (0.084, 0.582, 0.265)
Al (0.248, 0.752, 0.000)
Al (0.418, 0.916, 0.735)
Al (0.582, 0.084, 0.265)
Al (0.752, 0.248, 0.000)
Al (0.916, 0.418, 0.735)
Cu (0.171, 0.171, 0.255)
Cu (0.334, 0.334, 0.761)
Cu (0.500, 0.500, 0.500)
Cu (0.666, 0.666, 0.239)
Cu (0.829, 0.829, 0.745)
Ir (0.000, 0.000, 0.500)

# 10
# AlCu2Ir

AlCu2Ir after structural relaxation (PBE-GGA, Alexandria).

a b c (Å): 8.580 8.580 8.580
angles (deg): 18.19 18.19 18.19
Fractional coordinates of all 4 atoms:
Al (0.000, 0.000, 0.000)
Cu (0.253, 0.253, 0.253)
Cu (0.747, 0.747, 0.747)
Ir (0.500, 0.500, 0.500)

# 11
# Al2CuIr

Al2CuIr after structural relaxation (PBE-GGA, Alexandria).

a b c (Å): 4.357 2.896 4.766
angles (deg): 90.00 110.99 90.00
Fractional coordinates of all 4 atoms:
Al (0.000, 0.000, 0.000)
Al (0.000, 0.500, 0.500)
Cu (0.500, 0.000, 0.500)
Ir (0.500, 0.500, 0.000)

# 12
# AlCu2Ir

AlCu2Ir after structural relaxation (PBE-GGA, Alexandria).

a b c (Å): 9.491 9.491 9.491
angles (deg): 158.47 158.47 30.63
Fractional coordinates of all 8 atoms:
Al (0.000, 0.000, 0.000)
Al (0.750, 0.250, 0.500)
Cu (0.128, 0.625, 0.003)
Cu (0.375, 0.378, 0.503)
Cu (0.622, 0.125, 0.997)
Cu (0.875, 0.872, 0.497)
Ir (0.250, 0.750, 0.500)
Ir (0.500, 0.500, 0.000)

# 13
# AlCu2Ir

AlCu2Ir after structural relaxation (PBE-GGA, Alexandria).

a b c (Å): 2.784 4.446 4.375
angles (deg): 90.00 93.87 90.00
Fractional coordinates of all 4 atoms:
Al (0.000, 0.000, 0.000)
Cu (0.232, 0.500, 0.751)
Cu (0.768, 0.500, 0.249)
Ir (0.500, 0.000, 0.500)

# 14
# AlCuIr

AlCuIr after structural relaxation (PBE-GGA, Alexandria).

Computed properties:
E above lowest polymorph: 0.0 meV/atom

a b c (Å): 4.893 4.893 4.893
angles (deg): 144.01 144.01 51.81
Fractional coordinates of all 3 atoms:
Al (0.000, 0.000, 0.000)
Cu (0.339, 0.339, 0.000)
Ir (0.658, 0.658, 0.000)

# 15
# AlCu2Ir

AlCu2Ir after structural relaxation (PBE-GGA, Alexandria).

a b c (Å): 5.021 5.021 5.021
angles (deg): 146.00 131.45 60.60
Fractional coordinates of all 4 atoms:
Al (0.000, 0.000, 0.000)
Cu (0.242, 0.742, 0.500)
Cu (0.758, 0.258, 0.500)
Ir (0.500, 0.500, 0.000)

# 16
# Al2CuIr

Al2CuIr after structural relaxation (PBE-GGA, Alexandria).

a b c (Å): 2.981 2.981 6.097
angles (deg): 90.00 90.00 90.00
Fractional coordinates of all 4 atoms:
Al (0.000, 0.000, 0.247)
Al (0.000, 0.000, 0.753)
Cu (0.500, 0.500, 0.000)
Ir (0.500, 0.500, 0.500)

# 17
# Al3CuIr

Al3CuIr after structural relaxation (PBE-GGA, Alexandria).

Computed properties:
E above lowest polymorph: 0.0 meV/atom

a b c (Å): 8.865 8.865 8.865
angles (deg): 152.45 97.87 88.65
Fractional coordinates of all 20 atoms:
Al (0.035, 0.654, 0.381)
Al (0.120, 0.004, 0.117)
Al (0.227, 0.346, 0.881)
Al (0.284, 0.659, 0.625)
Al (0.387, 0.004, 0.383)
Al (0.466, 0.341, 0.125)
Al (0.534, 0.659, 0.875)
Al (0.613, 0.996, 0.617)
Al (0.716, 0.341, 0.375)
Al (0.773, 0.654, 0.119)
Al (0.880, 0.996, 0.883)
Al (0.965, 0.346, 0.619)
Cu (0.084, 0.834, 0.250)
Cu (0.252, 0.502, 0.750)
Cu (0.748, 0.498, 0.250)
Cu (0.916, 0.166, 0.750)
Ir (0.169, 0.170, 0.999)
Ir (0.330, 0.830, 0.499)
Ir (0.670, 0.170, 0.501)
Ir (0.831, 0.830, 0.001)

# 18
# AlCu2Ir2

AlCu2Ir2 after structural relaxation (PBE-GGA, Alexandria).

Computed properties:
E above lowest polymorph: 0.0 meV/atom

a b c (Å): 6.334 6.334 3.708
angles (deg): 90.00 90.00 90.00
Fractional coordinates of all 10 atoms:
Al (0.000, 0.000, 0.000)
Al (0.500, 0.500, 0.000)
Cu (0.160, 0.340, 0.500)
Cu (0.340, 0.840, 0.500)
Cu (0.660, 0.160, 0.500)
Cu (0.840, 0.660, 0.500)
Ir (0.141, 0.641, 0.000)
Ir (0.359, 0.141, 0.000)
Ir (0.641, 0.859, 0.000)
Ir (0.859, 0.359, 0.000)

# 19
# AlCuIr2

AlCuIr2 after structural relaxation (PBE-GGA, Alexandria).

a b c (Å): 2.751 3.747 5.371
angles (deg): 90.00 90.00 90.00
Fractional coordinates of all 4 atoms:
Al (0.000, 0.000, 0.000)
Cu (0.500, 0.500, 0.253)
Ir (0.000, 0.000, 0.483)
Ir (0.500, 0.500, 0.758)

# 20
# Al2CuIr

Al2CuIr after structural relaxation (PBE-GGA, Alexandria).

a b c (Å): 4.772 4.772 4.325
angles (deg): 106.58 106.58 36.02
Fractional coordinates of all 4 atoms:
Al (0.000, 0.000, 0.000)
Al (0.239, 0.239, 0.631)
Cu (0.495, 0.495, 0.494)
Ir (0.740, 0.740, 0.129)

no.,Fermi-level density of states (states/eV/cell),energy of formation (eV/atom)
1,5.374,-0.015
2,2.936,-0.243
3,2.383,-0.078
4,4.250,-0.239
5,5.085,-0.215
6,1.369,-0.360
7,3.380,-0.125
8,5.111,-0.094
9,2.467,-0.337
10,4.070,0.008
11,1.543,-0.395
12,2.936,0.023
13,1.843,-0.192
14,1.316,-0.422
15,1.180,-0.302
16,0.486,-0.581
17,5.840,-0.504
18,9.767,0.011
19,4.104,-0.246
20,1.624,-0.550